## w
DFT (GGA-PBE) results for an optimized crystal structure of BeZnCoCu.

The value obtained for the magnetization is 1.23 μB/cell.

It has space group F-43m (No. 216), with a = 5.581 Å, b = 5.581 Å, c = 5.581 Å, α = 90.00°, β = 90.00° and γ = 90.00°. The inequivalent atoms are Be at (0.000, 0.000, 0.000), Zn at (0.250, 0.250, 0.250), Co at (0.250, 0.250, 0.750) and Cu at (0.000, 0.000, 0.500).



## x
DFT (GGA-PBE) results for an optimized crystal structure of BeZnCoCu.

The value obtained for the magnetization is 0.01 μB/cell.

It has space group F-43m (No. 216), with a = 5.569 Å, b = 5.569 Å, c = 5.569 Å, α = 90.00°, β = 90.00° and γ = 90.00°. The inequivalent atoms are Be at (0.000, 0.000, 0.000), Zn at (0.000, 0.000, 0.500), Co at (0.250, 0.250, 0.750) and Cu at (0.250, 0.250, 0.250).



Which structure is the least stable? The one labeled w.



## w
DFT (GGA-PBE) results for an optimized crystal structure of LuBeGaCo.

The value obtained for the magnetization is 0.19 μB/cell.

It has space group F-43m (No. 216), with a = 6.129 Å, b = 6.129 Å, c = 6.129 Å, α = 90.00°, β = 90.00° and γ = 90.00°. The inequivalent atoms are Lu at (0.000, 0.000, 0.000), Be at (0.250, 0.250, 0.250), Ga at (0.000, 0.000, 0.500) and Co at (0.250, 0.250, 0.750).



## x
DFT (GGA-PBE) results for an optimized crystal structure of LuBeGaCo.

The value obtained for the magnetization is 0.02 μB/cell.

It has space group F-43m (No. 216), with a = 6.139 Å, b = 6.139 Å, c = 6.139 Å, α = 90.00°, β = 90.00° and γ = 90.00°. The inequivalent atoms are Lu at (0.000, 0.000, 0.000), Be at (0.250, 0.250, 0.750), Ga at (0.250, 0.250, 0.250) and Co at (0.000, 0.000, 0.500).



Which structure is the least stable? The one labeled x.



## w
DFT (GGA-PBE) results for an optimized crystal structure of BeGaCoMo.

The value obtained for the magnetization is 9.48 μB/cell.

It has space group F-43m (No. 216), with a = 5.836 Å, b = 5.836 Å, c = 5.836 Å, α = 90.00°, β = 90.00° and γ = 90.00°. The inequivalent atoms are Be at (0.000, 0.000, 0.000), Ga at (0.000, 0.000, 0.500), Co at (0.250, 0.250, 0.750) and Mo at (0.250, 0.250, 0.250).



## x
DFT (GGA-PBE) results for an optimized crystal structure of BeGaCoMo.

The value obtained for the magnetization is 8.05 μB/cell.

It has space group F-43m (No. 216), with a = 5.814 Å, b = 5.814 Å, c = 5.814 Å, α = 90.00°, β = 90.00° and γ = 90.00°. The inequivalent atoms are Be at (0.000, 0.000, 0.000), Ga at (0.250, 0.250, 0.250), Co at (0.000, 0.000, 0.500) and Mo at (0.250, 0.250, 0.750).



Which structure is the least stable? The one labeled w.



## w
DFT (GGA-PBE) results for an optimized crystal structure of BeGaCoNi.

The value obtained for the magnetization is 0.04 μB/cell.

It has space group F-43m (No. 216), with a = 5.524 Å, b = 5.524 Å, c = 5.524 Å, α = 90.00°, β = 90.00° and γ = 90.00°. The inequivalent atoms are Be at (0.000, 0.000, 0.000), Ga at (0.000, 0.000, 0.500), Co at (0.250, 0.250, 0.750) and Ni at (0.250, 0.250, 0.250).



## x
DFT (GGA-PBE) results for an optimized crystal structure of BeGaCoNi.

The value obtained for the magnetization is 1.71 μB/cell.

It has space group F-43m (No. 216), with a = 5.570 Å, b = 5.570 Å, c = 5.570 Å, α = 90.00°, β = 90.00° and γ = 90.00°. The inequivalent atoms are Be at (0.000, 0.000, 0.000), Ga at (0.250, 0.250, 0.250), Co at (0.000, 0.000, 0.500) and Ni at (0.250, 0.250, 0.750).



Which structure is the least stable? The one labeled x.



## w
DFT (GGA-PBE) results for an optimized crystal structure of BeGaCoRe.

The value obtained for the magnetization is 5.49 μB/cell.

It has space group F-43m (No. 216), with a = 5.771 Å, b = 5.771 Å, c = 5.771 Å, α = 90.00°, β = 90.00° and γ = 90.00°. The inequivalent atoms are Be at (0.000, 0.000, 0.000), Ga at (0.000, 0.000, 0.500), Co at (0.250, 0.250, 0.750) and Re at (0.250, 0.250, 0.250).



## x
DFT (GGA-PBE) results for an optimized crystal structure of BeGaCoRe.

The value obtained for the magnetization is 9.43 μB/cell.

It has space group F-43m (No. 216), with a = 5.785 Å, b = 5.785 Å, c = 5.785 Å, α = 90.00°, β = 90.00° and γ = 90.00°. The inequivalent atoms are Be at (0.000, 0.000, 0.000), Ga at (0.250, 0.250, 0.250), Co at (0.000, 0.000, 0.500) and Re at (0.250, 0.250, 0.750).



Which structure is the least stable? The one labeled w.



## w
DFT (GGA-PBE) results for an optimized crystal structure of BeGaCoSi.

The value obtained for the magnetization is 0.02 μB/cell.

It has space group F-43m (No. 216), with a = 5.692 Å, b = 5.692 Å, c = 5.692 Å, α = 90.00°, β = 90.00° and γ = 90.00°. The inequivalent atoms are Be at (0.000, 0.000, 0.000), Ga at (0.250, 0.250, 0.750), Co at (0.250, 0.250, 0.250) and Si at (0.000, 0.000, 0.500).



## x
DFT (GGA-PBE) results for an optimized crystal structure of BeGaCoSi.

The value obtained for the magnetization is 0.01 μB/cell.

It has space group F-43m (No. 216), with a = 5.679 Å, b = 5.679 Å, c = 5.679 Å, α = 90.00°, β = 90.00° and γ = 90.00°. The inequivalent atoms are Be at (0.000, 0.000, 0.000), Ga at (0.250, 0.250, 0.750), Co at (0.000, 0.000, 0.500) and Si at (0.250, 0.250, 0.250).



Which structure is the least stable? The one labeled w.